No. 1
Material: La3ErAu4
Method: DFT, PBE
State: relaxed

Calculated values
The value obtained for the formation energy is -0.800 eV/atom. The calculation puts the volume at 25.84 Å³/atom. The total energy comes out at -38.9 eV per cell.

Cell and atoms, written as extended XYZ:
```
8
Lattice="3.698 0.000 0.000 0.000 3.698 0.000 0.000 0.000 15.117" Properties=species:S:1:pos:R:3 pbc="T T T"
La 0.000 0.000 0.000
La 0.000 0.000 3.876
La 0.000 0.000 11.241
Er 0.000 0.000 7.558
Au 1.849 1.849 1.919
Au 1.849 1.849 5.933
Au 1.849 1.849 9.183
Au 1.849 1.849 13.198
```


No. 2
Material: La4ErAu5
Method: DFT, PBE
State: relaxed

Calculated values
The value obtained for the formation energy is -0.796 eV/atom. The calculation puts the volume at 26.09 Å³/atom. The total energy comes out at -48.6 eV per cell.

Cell and atoms, written as extended XYZ:
```
10
Lattice="3.701 0.000 0.000 0.000 3.701 0.000 0.000 0.000 19.044" Properties=species:S:1:pos:R:3 pbc="T T T"
La 0.000 0.000 1.943
La 0.000 0.000 5.836
La 0.000 0.000 13.208
La 0.000 0.000 17.101
Er 0.000 0.000 9.522
Au 1.851 1.851 0.000
Au 1.851 1.851 3.882
Au 1.851 1.851 7.886
Au 1.851 1.851 11.158
Au 1.851 1.851 15.162
```


No. 3
Material: LaEr2Au
Method: DFT, PBE
State: relaxed

Calculated values
As for the energy above the most stable polymorph in this dataset: 0.000 eV per atom. The value obtained for the formation energy is -0.413 eV/atom. The calculation puts the volume at 28.33 Å³/atom. The total energy comes out at -19.0 eV per cell.

Cell and atoms, written as extended XYZ:
```
4
Lattice="3.616 0.000 0.000 0.000 3.616 0.000 0.000 0.000 8.664" Properties=species:S:1:pos:R:3 pbc="T T T"
La 0.000 0.000 0.000
Er 1.808 1.808 2.629
Er 1.808 1.808 6.035
Au 0.000 0.000 4.332
```